Record 1
Density functional theory data (PBE-GGA) for NaMo2Pt after structural relaxation.

Computed properties:
**E_tot**: -6.433 eV per atom
**Offset from the most stable computed form**: 804.7 meV/atom
**Symmetry**: No. 225

Unit cell a=4.511 b=4.511 c=4.511 alpha=60.00 beta=60.00 gamma=60.00
Sites, in units of the cell vectors:
Pt 0.500 0.500 0.500
Na 0.000 0.000 0.000
Mo 0.750 0.750 0.750
Mo 0.250 0.250 0.250

Record 2
Density functional theory data (PBE-GGA) for Na3MoPt after structural relaxation.

Computed properties:
**E_tot**: -3.126 eV per atom
**Offset from the most stable computed form**: 0.0 meV/atom
**Symmetry**: No. 221

Unit cell a=5.426 b=5.426 c=5.426 alpha=90.00 beta=90.00 gamma=90.00
Sites, in units of the cell vectors:
Na 0.000 0.500 0.000
Na 0.500 0.000 0.000
Na 0.000 0.000 0.500
Mo 0.500 0.500 0.500
Pt 0.000 0.000 0.000

Record 3
Density functional theory data (PBE-GGA) for NaMo2Pt after structural relaxation.

Computed properties:
**E_tot**: -7.041 eV per atom
**Offset from the most stable computed form**: 196.9 meV/atom
**Symmetry**: No. 8

Unit cell a=8.868 b=4.196 c=8.717 alpha=90.00 beta=114.12 gamma=90.00
Sites, in units of the cell vectors:
Pt 0.940 0.000 0.120
Mo 0.904 0.500 0.917
Mo 0.068 0.500 0.365
Pt 0.375 0.500 0.628
Mo 0.262 0.000 0.379
Mo 0.904 0.000 0.417
Mo 0.068 0.000 0.865
Na 0.673 0.000 0.637
Na 0.558 0.500 0.394
Na 0.558 0.000 0.894
Pt 0.940 0.500 0.620
Mo 0.183 0.000 0.633
Na 0.673 0.500 0.137
Mo 0.183 0.500 0.133
Mo 0.262 0.500 0.879
Pt 0.375 0.000 0.128

Record 4
Density functional theory data (PBE-GGA) for Na2ReMoPt after structural relaxation.

Computed properties:
**E_tot**: -4.797 eV per atom
**Symmetry**: No. 123

Unit cell a=5.024 b=4.897 c=5.024 alpha=90.00 beta=90.00 gamma=90.00
Sites, in units of the cell vectors:
Re 0.000 0.500 0.000
Pt 0.000 0.000 0.000
Mo 0.500 0.500 0.500
Na 0.000 0.000 0.500
Na 0.500 0.000 0.000

Record 5
Density functional theory data (PBE-GGA) for NaTc2MoPt after structural relaxation.

Computed properties:
**E_tot**: -5.623 eV per atom
**Symmetry**: No. 123

Unit cell a=4.429 b=4.429 c=4.390 alpha=90.00 beta=90.00 gamma=90.00
Sites, in units of the cell vectors:
Tc 0.000 0.500 0.000
Na 0.000 0.000 0.000
Pt 0.000 0.000 0.500
Tc 0.500 0.000 0.000
Mo 0.500 0.500 0.500

Record 6
Density functional theory data (PBE-GGA) for NaMoPt2W after structural relaxation.

Computed properties:
**E_tot**: -5.462 eV per atom
**Symmetry**: No. 123

Unit cell a=4.389 b=4.531 c=4.389 alpha=90.00 beta=90.00 gamma=90.00
Sites, in units of the cell vectors:
Pt 0.500 0.000 0.000
Pt 0.000 0.000 0.500
Mo 0.000 0.500 0.000
Na 0.000 0.000 0.000
W 0.500 0.500 0.500

Record 7
Density functional theory data (PBE-GGA) for NaZnMoPt2 after structural relaxation.

Computed properties:
**E_tot**: -3.689 eV per atom
**Symmetry**: No. 123

Unit cell a=4.649 b=4.388 c=4.649 alpha=90.00 beta=90.00 gamma=90.00
Sites, in units of the cell vectors:
Na 0.000 0.000 0.000
Mo 0.500 0.500 0.500
Zn 0.000 0.500 0.000
Pt 0.500 0.000 0.000
Pt 0.000 0.000 0.500

Record 8
Density functional theory data (PBE-GGA) for RbNaMo2 after structural relaxation.

Computed properties:
**E_tot**: -3.420 eV per atom
**Offset from the most stable computed form**: 509.8 meV/atom
**Symmetry**: No. 225

Unit cell a=4.985 b=4.985 c=4.985 alpha=60.00 beta=60.00 gamma=60.00
Sites, in units of the cell vectors:
Rb 0.500 0.500 0.500
Na 0.000 0.000 0.000
Mo 0.250 0.250 0.250
Mo 0.750 0.750 0.750

Record 9
Density functional theory data (PBE-GGA) for RbNa2Mo after structural relaxation.

Computed properties:
**E_tot**: -2.392 eV per atom
**Offset from the most stable computed form**: 98.2 meV/atom
**Symmetry**: No. 122

Unit cell a=9.597 b=9.597 c=7.733 alpha=51.65 beta=51.65 gamma=90.00
Sites, in units of the cell vectors:
Na 0.375 0.328 0.750
Na 0.875 0.922 0.750
Na 0.672 0.125 0.250
Mo 0.000 0.000 0.000
Rb 0.250 0.750 0.500
Na 0.078 0.625 0.250
Rb 0.500 0.500 0.000
Mo 0.750 0.250 0.500

Record 10
Density functional theory data (PBE-GGA) for RbNaMo2 after structural relaxation.

Computed properties:
**E_tot**: -3.930 eV per atom
**Offset from the most stable computed form**: 0.0 meV/atom
**Symmetry**: No. 122

Unit cell a=9.274 b=9.274 c=7.002 alpha=48.52 beta=48.52 gamma=90.00
Sites, in units of the cell vectors:
Rb 0.750 0.250 0.500
Rb 0.000 0.000 0.000
Mo 0.606 0.125 0.250
Na 0.500 0.500 0.000
Na 0.250 0.750 0.500
Mo 0.875 0.856 0.750
Mo 0.144 0.625 0.250
Mo 0.375 0.394 0.750

Record 11
Density functional theory data (PBE-GGA) for Rb2NaMo after structural relaxation.

Computed properties:
**E_tot**: -2.339 eV per atom
**Offset from the most stable computed form**: 0.0 meV/atom
**Symmetry**: No. 225

Unit cell a=6.547 b=6.547 c=6.547 alpha=60.00 beta=60.00 gamma=60.00
Sites, in units of the cell vectors:
Rb 0.750 0.750 0.750
Mo 0.500 0.500 0.500
Na 0.000 0.000 0.000
Rb 0.250 0.250 0.250

Record 12
Density functional theory data (PBE-GGA) for RbNa2Mo after structural relaxation.

Computed properties:
**E_tot**: -2.490 eV per atom
**Offset from the most stable computed form**: 0.0 meV/atom
**Symmetry**: No. 225

Unit cell a=5.935 b=5.935 c=5.935 alpha=60.00 beta=60.00 gamma=60.00
Sites, in units of the cell vectors:
Mo 0.500 0.500 0.500
Na 0.750 0.750 0.750
Rb 0.000 0.000 0.000
Na 0.250 0.250 0.250

What did the twelfth record say?
Density functional theory data (PBE-GGA) for RbNa2Mo after structural relaxation.

Computed properties:
**E_tot**: -2.490 eV per atom
**Offset from the most stable computed form**: 0.0 meV/atom
**Symmetry**: No. 225

Unit cell a=5.935 b=5.935 c=5.935 alpha=60.00 beta=60.00 gamma=60.00
Sites, in units of the cell vectors:
Mo 0.500 0.500 0.500
Na 0.750 0.750 0.750
Rb 0.000 0.000 0.000
Na 0.250 0.250 0.250

Among the records above, which one has the lowest E_tot? number 3